[1]
Computed, not measured: a geometry-optimized LiTb2ScSe5 structure at the PBE level of DFT.

Properties
* formation energy without anion corrections: -1.667 eV/atom
* total magnetization: 0.000 μB per atom

Lattice parameters (Å, degrees): 4.0082 16.8395 12.0794 90.00 90.00 90.00
Space group Cmc2_1 (No. 36)
Unique sites:
1 Li 0.0000 0.0518 0.0000 [4 per cell]
2 Tb 0.0000 0.3711 0.8372 [4 per cell]
3 Tb 0.0000 0.3959 0.2203 [4 per cell]
4 Sc 0.0000 0.3008 0.5480 [4 per cell]
5 Se 0.0000 0.0031 0.3169 [4 per cell]
6 Se 0.0000 0.1388 0.5363 [4 per cell]
7 Se 0.0000 0.1910 0.8912 [4 per cell]
8 Se 0.0000 0.2198 0.2019 [4 per cell]
9 Se 0.0000 0.4473 0.6076 [4 per cell]

[2]
Computed, not measured: a geometry-optimized LiTb3Sc3Se8 structure at the PBE level of DFT.

Properties
* formation energy without anion corrections: -1.711 eV/atom
* N(E_F): 0.30 states/eV per atom
* total magnetization: 0.000 μB per atom

Lattice parameters (Å, degrees): 7.9033 7.9033 19.4694 90.00 90.00 120.00
Space group R-3m (No. 166, hexagonal axes)
Unique sites:
1 Li 0.0000 0.0000 0.0000 [3 per cell]
2 Tb 0.0000 0.5000 0.5000 [9 per cell]
3 Sc 0.0000 0.5000 0.0000 [9 per cell]
4 Se 0.0000 0.0000 0.2555 [6 per cell]
5 Se 0.0057 0.5029 0.2541 [18 per cell]

[3]
Computed, not measured: a geometry-optimized Li3Tb2ScSe6 structure at the PBE level of DFT.

Properties
* formation energy without anion corrections: -1.657 eV/atom
* N(E_F): 0.00 states/eV per atom
* total magnetization: 0.000 μB per atom

Lattice parameters (Å, degrees): 6.9585 12.0553 6.8746 90.00 109.72 90.00
Space group C2/m (No. 12)
Unique sites:
1 Li 0.0000 0.0000 0.0000 [2 per cell]
2 Li 0.0000 0.3350 0.0000 [4 per cell]
3 Tb 0.0000 0.1668 0.5000 [4 per cell]
4 Sc 0.0000 0.5000 0.5000 [2 per cell]
5 Se 0.2372 0.5000 0.2516 [4 per cell]
6 Se 0.2437 0.3398 0.7510 [8 per cell]

[4]
Computed, not measured: a geometry-optimized LiTb3Sc2Se6 structure at the PBE level of DFT.

Properties
* formation energy without anion corrections: -1.700 eV/atom
* N(E_F): 0.48 states/eV per atom
* total magnetization: 0.000 μB per atom

Lattice parameters (Å, degrees): 6.9033 11.9665 6.9038 90.00 109.58 90.00
Space group C2/m (No. 12)
Unique sites:
1 Li 0.0000 0.0000 0.0000 [2 per cell]
2 Tb 0.0000 0.1654 0.5000 [4 per cell]
3 Tb 0.0000 0.5000 0.5000 [2 per cell]
4 Sc 0.0000 0.3349 0.0000 [4 per cell]
5 Se 0.2423 0.1653 0.2330 [8 per cell]
6 Se 0.2478 0.5000 0.2294 [4 per cell]

What did the first record say?
Computed, not measured: a geometry-optimized LiTb2ScSe5 structure at the PBE level of DFT.

Properties
* formation energy without anion corrections: -1.667 eV/atom
* total magnetization: 0.000 μB per atom

Lattice parameters (Å, degrees): 4.0082 16.8395 12.0794 90.00 90.00 90.00
Space group Cmc2_1 (No. 36)
Unique sites:
1 Li 0.0000 0.0518 0.0000 [4 per cell]
2 Tb 0.0000 0.3711 0.8372 [4 per cell]
3 Tb 0.0000 0.3959 0.2203 [4 per cell]
4 Sc 0.0000 0.3008 0.5480 [4 per cell]
5 Se 0.0000 0.0031 0.3169 [4 per cell]
6 Se 0.0000 0.1388 0.5363 [4 per cell]
7 Se 0.0000 0.1910 0.8912 [4 per cell]
8 Se 0.0000 0.2198 0.2019 [4 per cell]
9 Se 0.0000 0.4473 0.6076 [4 per cell]

Question: What is the formula in the first record?
Answer: LiTb2ScSe5

Question: Look up the formation energy without anion corrections of the fourth one.
Answer: -1.700 eV/atom

Question: total magnetization of number 3 (Li3Tb2ScSe6)?
Answer: 0.000 μB per atom